Compound: KTaRe2
Source: Alexandria via LeMat-Bulk
Functional: GGA-PBEsol
Structure: optimized geometry

abc: 2.7820 2.7820 10.8573
angles: 82.64 82.64 60.00
Closest atoms and distances in Å follow each position.
Fractional coordinates of all 4 atoms:
1 K 0.0000 0.0000 0.0000  6 K 2.78
2 Re 0.2404 0.2404 0.2788  6 Re 2.78, 3 Ta 2.87
3 Re 0.7596 0.7596 0.7212  6 Re 2.78, 3 Ta 2.87
4 Ta 0.5000 0.5000 0.5000  6 Ta 2.78, 6 Re 2.87

* offset from the most stable computed form: 213 meV/atom
* ΔH_f (0 K): 0.839 eV per atom